Compound: SrAl2Sb
Source: Alexandria
Functional: PBE
Structure: optimized geometry

Its formation energy from raw total energies is -58 kJ/mol of formula units. Its total energy is -3.4724 eV per atom. The value obtained for the total moment is 0.000 μB per atom.

Structure (CIF):
```
data_SrAl2Sb
_symmetry_space_group_name_H-M 'P 1 2/m 1'
_symmetry_Int_Tables_number 10
_cell_length_a 4.811
_cell_length_b 5.131
_cell_length_c 4.881
_cell_angle_alpha 90.00
_cell_angle_beta 92.61
_cell_angle_gamma 90.00
loop_
_symmetry_equiv_pos_as_xyz
'x,y,z'
'-x,-y,-z'
'-x,y,-z'
'x,-y,z'
loop_
_atom_site_label
_atom_site_fract_x
_atom_site_fract_y
_atom_site_fract_z
Sr1 0.000 0.000 0.000
Al1 0.392 0.500 0.748
Sb1 0.500 0.000 0.500
```